1.
A plane-wave DFT calculation with PBE was carried out for an optimized crystal structure of TbTc2Ge3.

The structure belongs to space group Cmcm (No. 63); the cell edges are 4.388, 11.680 and 8.584 Å and the angles 90.00°, 90.00° and 90.00°. The distinct sites, in fractional coordinates, are Tb at (0.000, 0.184, 0.250), Tc at (0.000, 0.000, 0.000), Tc at (0.000, 0.461, 0.250), Ge at (0.000, 0.133, 0.750) and Ge at (0.000, 0.382, 0.532).

The value obtained for the relative energy among the computed polymorphs is 0.0 meV per atom. Its crystal system is orthorhombic. The theoretical density comes out at 8.65 Mg/m³. As for the density of states at the Fermi level: 16.8 states/eV/cell. As for the formation energy: -0.350 eV per atom. Its volume is 109.99 Å³/f.u.

=====

2.
A plane-wave DFT calculation with PBE was carried out for an optimized crystal structure of TbTc3Ge2.

The structure belongs to space group C2/m (No. 12); the cell edges are 15.422, 4.151 and 7.552 Å and the angles 90.00°, 118.34° and 90.00°. The distinct sites, in fractional coordinates, are Tb at (0.139, 0.000, 0.060), Tc at (0.049, 0.000, 0.404), Tc at (0.087, 0.500, 0.652), Tc at (0.202, 0.500, 0.476), Ge at (0.022, 0.500, 0.183) and Ge at (0.204, 0.000, 0.739).

Its crystal system is monoclinic. The theoretical density comes out at 9.34 Mg/m³. As for the density of states at the Fermi level: 13.5 states/eV/cell. As for the formation energy: -0.388 eV per atom. Its volume is 106.38 Å³/f.u.

=====

3.
A plane-wave DFT calculation with PBE was carried out for an optimized crystal structure of TbTcGe2.

The structure belongs to space group C2/c (No. 15); the cell edges are 6.242, 10.436 and 5.755 Å and the angles 90.00°, 122.25° and 90.00°. The distinct sites, in fractional coordinates, are Tb at (0.000, 0.133, 0.250), Tc at (0.000, 0.465, 0.250) and Ge at (0.245, 0.361, 0.087).

The value obtained for the relative energy among the computed polymorphs is 0.0 meV per atom. Its crystal system is monoclinic. The theoretical density comes out at 8.43 Mg/m³. As for the density of states at the Fermi level: 8.2 states/eV/cell. As for the formation energy: -0.517 eV per atom. Its volume is 79.25 Å³/f.u.

=====

4.
A plane-wave DFT calculation with PBE was carried out for an optimized crystal structure of TbTiTcGe2.

The structure belongs to space group I-4m2 (No. 119); the cell edges are 3.978, 3.978 and 11.601 Å and the angles 90.00°, 90.00° and 90.00°. The distinct sites, in fractional coordinates, are Tb at (0.000, 0.000, 0.000), Ti at (0.000, 0.500, 0.750), Tc at (0.000, 0.500, 0.250) and Ge at (0.000, 0.000, 0.392).

Its crystal system is tetragonal. The theoretical density comes out at 8.14 Mg/m³. As for the density of states at the Fermi level: 7.1 states/eV/cell. As for the formation energy: -0.663 eV per atom. Its volume is 91.77 Å³/f.u.

=====

5.
A plane-wave DFT calculation with PBE was carried out for an optimized crystal structure of TbZnTcGe2.

The structure belongs to space group I-4m2 (No. 119); the cell edges are 4.010, 4.010 and 11.288 Å and the angles 90.00°, 90.00° and 90.00°. The distinct sites, in fractional coordinates, are Tb at (0.000, 0.000, 0.000), Zn at (0.000, 0.500, 0.250), Tc at (0.000, 0.500, 0.750) and Ge at (0.000, 0.000, 0.387).

Its crystal system is tetragonal. The theoretical density comes out at 8.56 Mg/m³. As for the density of states at the Fermi level: 10.4 states/eV/cell. As for the formation energy: -0.348 eV per atom. Its volume is 90.76 Å³/f.u.

=====

6.
A plane-wave DFT calculation with PBE was carried out for an optimized crystal structure of TbGeTe4.

The structure belongs to space group P2_1/m (No. 11); the cell edges are 6.330, 10.006 and 7.360 Å and the angles 90.00°, 112.40° and 90.00°. The distinct sites, in fractional coordinates, are Tb at (0.109, 0.250, 0.161), Ge at (0.308, 0.750, 0.447), Te at (0.028, 0.564, 0.210), Te at (0.313, 0.250, 0.615) and Te at (0.396, 0.750, 0.827).

Its crystal system is monoclinic. The theoretical density comes out at 5.72 Mg/m³. As for the density of states at the Fermi level: 6.8 states/eV/cell. The value obtained for the uncorrected formation energy is -0.47 eV/atom. Its volume is 215.48 Å³/f.u.

=====

7.
A plane-wave DFT calculation with PBE was carried out for an optimized crystal structure of Tb2GeTe.

The structure belongs to space group R3m (No. 160, hexagonal axes); the cell edges are 4.2397, 4.2397 and 21.8672 Å and the angles 90.00°, 90.00° and 120.00°. The distinct sites, in fractional coordinates, are Tb at (0.0000, 0.0000, 0.0000), Tb at (0.0000, 0.0000, 0.1895), Ge at (0.0000, 0.0000, 0.5962) and Te at (0.0000, 0.0000, 0.4269).

The value obtained for the relative energy among the computed polymorphs is 68.4 meV per atom. Its crystal system is trigonal. The theoretical density comes out at 7.58 Mg/m³. As for the density of states at the Fermi level: 2.2 states/eV/cell. The value obtained for the uncorrected formation energy is -1.13 eV/atom. Its volume is 113.47 Å³/f.u.

=====

8.
A plane-wave DFT calculation with PBE was carried out for an optimized crystal structure of Tb3GeTe2.

The structure belongs to space group C2/c (No. 15); the cell edges are 7.558, 12.916 and 7.432 Å and the angles 90.00°, 109.62° and 90.00°. The distinct sites, in fractional coordinates, are Tb at (0.218, 0.074, 0.495), Tb at (0.250, 0.250, 0.000), Ge at (0.000, 0.090, 0.750), Te at (0.000, 0.259, 0.250) and Te at (0.000, 0.419, 0.750).

Its crystal system is monoclinic. The theoretical density comes out at 7.82 Mg/m³. As for the density of states at the Fermi level: 5.8 states/eV/cell. The value obtained for the uncorrected formation energy is -1.28 eV/atom. Its volume is 170.83 Å³/f.u.

=====

9.
A plane-wave DFT calculation with PBE was carried out for an optimized crystal structure of Tb6Ge3Te.

The structure belongs to space group Cmc2_1 (No. 36); the cell edges are 11.085, 14.133 and 7.365 Å and the angles 90.00°, 90.00° and 90.00°. The distinct sites, in fractional coordinates, are Tb at (0.000, 0.006, 0.000), Tb at (0.000, 0.244, 0.348), Tb at (0.174, 0.461, 0.391), Tb at (0.188, 0.280, 0.982), Ge at (0.000, 0.414, 0.102), Ge at (0.180, 0.104, 0.217) and Te at (0.000, 0.176, 0.734).

Its crystal system is orthorhombic. The theoretical density comes out at 7.48 Mg/m³. As for the density of states at the Fermi level: 31.6 states/eV/cell. The value obtained for the uncorrected formation energy is -0.72 eV/atom. Its volume is 288.47 Å³/f.u.

=====

10.
A plane-wave DFT calculation with PBE was carried out for an optimized crystal structure of Tb2GeTe.

The structure belongs to space group R-3m (No. 166, hexagonal axes); the cell edges are 4.2613, 4.2613 and 21.3414 Å and the angles 90.00°, 90.00° and 120.00°. The distinct sites, in fractional coordinates, are Tb at (0.0000, 0.0000, 0.2403), Ge at (0.0000, 0.0000, 0.5000) and Te at (0.0000, 0.0000, 0.0000).

The value obtained for the relative energy among the computed polymorphs is 0.0 meV per atom. Its crystal system is trigonal. The theoretical density comes out at 7.69 Mg/m³. As for the density of states at the Fermi level: 2.6 states/eV/cell. The value obtained for the uncorrected formation energy is -1.20 eV/atom. Its volume is 111.88 Å³/f.u.

=====

11.
A plane-wave DFT calculation with PBE was carried out for an optimized crystal structure of Tb3Ge5Te12.

The structure belongs to space group Ia-3d (No. 230); the cell edges are 17.367, 17.367 and 17.367 Å and the angles 90.00°, 90.00° and 90.00°. The distinct sites, in fractional coordinates, are Tb at (0.000, 0.250, 0.125), Ge at (0.000, 0.000, 0.000), Ge at (0.000, 0.250, 0.375) and Te at (0.022, 0.064, 0.653).

Its crystal system is cubic. The theoretical density comes out at 6.01 Mg/m³. As for the density of states at the Fermi level: 45.8 states/eV/cell. The value obtained for the uncorrected formation energy is -0.49 eV/atom. Its volume is 654.82 Å³/f.u.

=====

12.
A plane-wave DFT calculation with PBE was carried out for an optimized crystal structure of Tb8Ge4Te3.

The structure belongs to space group C2/m (No. 12); the cell edges are 12.032, 12.066 and 8.507 Å and the angles 90.00°, 134.89° and 90.00°. The distinct sites, in fractional coordinates, are Tb at (0.000, 0.238, 0.000), Tb at (0.000, 0.241, 0.500), Tb at (0.224, 0.000, 0.472), Tb at (0.234, 0.000, 0.984), Ge at (0.000, 0.000, 0.000), Ge at (0.000, 0.000, 0.500), Ge at (0.250, 0.250, 0.000), Te at (0.000, 0.500, 0.500) and Te at (0.250, 0.250, 0.500).

Its crystal system is monoclinic. The theoretical density comes out at 7.38 Mg/m³. As for the density of states at the Fermi level: 13.5 states/eV/cell. The value obtained for the uncorrected formation energy is -0.98 eV/atom. Its volume is 437.48 Å³/f.u.